Tb2Th3Ru2 | PBE | relaxed

Values from the calculation:
M_tot: 0.00 μB per formula unit
calculated formation energy: -0.33 eV/atom
E: -7.48 eV/atom

Structure (CIF):
```
data_Tb2Th3Ru2
_space_group_name_H-M_alt 'C 1 2/m 1'
_space_group_IT_number 12
_space_group_name_Hall '-C 2y'
_cell_length_a 11.721
_cell_length_b 3.851
_cell_length_c 8.925
_cell_angle_alpha 90.00
_cell_angle_beta 109.60
_cell_angle_gamma 90.00
loop_
_atom_site_label
_atom_site_fract_x
_atom_site_fract_y
_atom_site_fract_z
Tb1 0.164 0.000 0.299
Th1 0.000 0.500 0.500
Th2 0.122 0.500 0.929
Ru1 0.138 0.000 0.706
```